ThGaNi | PBE | relaxed

The calculation puts the formation enthalpy at 0 K at -509 meV per atom. The density of states at the Fermi level comes out at 1.48 states/eV/atom. The total energy is -71.024 eV for the cell shown.

The structure belongs to space group F-43m (No. 216); the cell edges are 6.371, 6.371 and 6.371 Å and the angles 90.00°, 90.00° and 90.00°. The distinct sites, in fractional coordinates, are Th at (0.000, 0.000, 0.000), Ga at (0.000, 0.000, 0.500) and Ni at (0.250, 0.250, 0.750).